*A*
The following is a DFT calculation (PBE-GGA) of crystalline Zr2InH at its relaxed geometry.

Structure (POSCAR):
```
Zr2InH
1.0
-1.820 1.944 4.948
1.820 -1.944 4.948
1.820 1.944 -4.948
Zr In H
2 1 1
direct
0.000 0.000 0.000 Zr
0.324 0.324 0.000 Zr
0.663 0.663 0.000 In
0.420 0.920 0.500 H
```

**Symmetry**: Imm2


*B*
The following is a DFT calculation (PBE-GGA) of crystalline Zr2InH at its relaxed geometry.

Structure (POSCAR):
```
Zr2InH
1.0
-2.830 2.830 5.100
2.830 -2.830 5.100
2.830 2.830 -5.100
Zr In H
4 2 2
direct
0.000 0.000 0.000 Zr
0.000 0.000 0.500 Zr
0.000 0.500 0.000 Zr
0.500 0.000 0.500 Zr
0.375 0.625 0.750 In
0.625 0.375 0.250 In
0.125 0.875 0.250 H
0.875 0.125 0.750 H
```

**Symmetry**: I4_1/amd


The structure with the greatest stability is *A*.


*A*
The following is a DFT calculation (PBE-GGA) of crystalline Zr2InH at its relaxed geometry.

Structure (POSCAR):
```
Zr2InH
1.0
0.000 3.370 3.370
3.370 0.000 3.370
3.370 3.370 0.000
Zr In H
2 1 1
direct
0.250 0.250 0.250 Zr
0.750 0.750 0.750 Zr
0.000 0.000 0.000 In
0.500 0.500 0.500 H
```

**Symmetry**: Fm-3m


*B*
The following is a DFT calculation (PBE-GGA) of crystalline Zr2InH at its relaxed geometry.

Structure (POSCAR):
```
Zr2InH
1.0
1.617 0.933 7.757
-1.617 0.933 7.757
0.000 -1.867 7.757
Zr In H
2 1 1
direct
0.225 0.225 0.225 Zr
0.775 0.775 0.775 Zr
0.000 0.000 0.000 In
0.500 0.500 0.500 H
```

**Symmetry**: R-3m


*C*
The following is a DFT calculation (PBE-GGA) of crystalline Zr2InH at its relaxed geometry.

Structure (POSCAR):
```
Zr2InH
1.0
2.805 -1.689 0.000
2.805 1.689 0.000
-2.718 0.000 7.689
Zr In H
2 1 1
direct
0.000 0.000 0.000 Zr
0.690 0.690 0.346 Zr
0.183 0.183 0.675 In
0.698 0.698 0.093 H
```

**Symmetry**: Cm


The structure with the greatest stability is *C*.


*A*
The following is a DFT calculation (PBE-GGA) of crystalline ZrInH at its relaxed geometry.

Structure (POSCAR):
```
ZrInH
1.0
-1.508 1.508 5.525
1.508 -1.508 5.525
1.508 1.508 -5.525
Zr In H
1 1 1
direct
0.000 0.000 0.000 Zr
0.277 0.277 0.000 In
0.541 0.541 0.000 H
```

**Symmetry**: I4mm


*B*
The following is a DFT calculation (PBE-GGA) of crystalline ZrInH at its relaxed geometry.

Structure (POSCAR):
```
ZrInH
1.0
7.602 0.000 0.000
0.000 4.058 0.000
0.000 0.000 6.217
Zr In H
4 4 4
direct
0.150 0.250 0.099 Zr
0.350 0.750 0.599 Zr
0.650 0.250 0.401 Zr
0.850 0.750 0.901 Zr
0.057 0.250 0.633 In
0.443 0.750 0.133 In
0.557 0.250 0.867 In
0.943 0.750 0.367 In
0.109 0.750 0.981 H
0.391 0.250 0.481 H
0.609 0.750 0.519 H
0.891 0.250 0.019 H
```

**Symmetry**: Pnma


*C*
The following is a DFT calculation (PBE-GGA) of crystalline ZrInH at its relaxed geometry.

Structure (POSCAR):
```
ZrInH
1.0
3.421 0.000 0.000
-1.710 2.963 0.000
0.000 0.000 4.882
Zr In H
1 1 1
direct
0.000 0.000 0.000 Zr
0.333 0.667 0.500 In
0.667 0.333 0.000 H
```

**Symmetry**: P-6m2


The structure with the greatest stability is *C*.


*A*
The following is a DFT calculation (PBE-GGA) of crystalline ZrInH at its relaxed geometry.

Structure (POSCAR):
```
ZrInH
1.0
5.412 0.000 0.000
0.000 3.196 0.000
0.000 0.000 11.594
Zr In H
4 4 4
direct
0.249 0.250 0.197 Zr
0.251 0.750 0.697 Zr
0.749 0.250 0.303 Zr
0.751 0.750 0.803 Zr
0.250 0.250 0.462 In
0.250 0.750 0.962 In
0.750 0.250 0.038 In
0.750 0.750 0.538 In
0.001 0.250 0.750 H
0.499 0.750 0.250 H
0.501 0.250 0.750 H
0.999 0.750 0.250 H
```

**Symmetry**: Pnma


*B*
The following is a DFT calculation (PBE-GGA) of crystalline ZrInH at its relaxed geometry.

Structure (POSCAR):
```
ZrInH
1.0
6.272 0.000 0.000
0.000 5.569 0.000
0.000 0.000 5.568
Zr In H
4 4 4
direct
0.108 0.000 0.250 Zr
0.108 0.500 0.750 Zr
0.892 0.000 0.750 Zr
0.892 0.500 0.250 Zr
0.386 0.000 0.750 In
0.386 0.500 0.250 In
0.614 0.000 0.250 In
0.614 0.500 0.750 In
0.001 0.250 0.000 H
0.001 0.250 0.500 H
0.999 0.750 0.000 H
0.999 0.750 0.500 H
```

**Symmetry**: Pbcm


The structure with the greatest stability is *B*.